[1]
First-principles (GGA-PBE) data for an optimized crystal structure of Mo2AsCl, as listed in Alexandria via LeMat-Bulk.

Cell and atoms, written as POSCAR:
```
Mo2AsCl
1.0
5.228 0.005 -0.004
1.325 5.058 0.004
-2.132 -4.013 2.586
Mo As Cl
2 1 1
Direct
0.001 0.001 0.000 Mo
0.499 0.499 0.000 Mo
0.750 0.250 0.500 As
0.250 0.750 0.500 Cl
```

Results
**Uncorrected energy**: -6.483 eV per atom
**SG**: Immm (71)


[2]
First-principles (GGA-PBE) data for an optimized crystal structure of MoAsCl2, as listed in Alexandria via LeMat-Bulk.

Cell and atoms, written as POSCAR:
```
MoAsCl2
1.0
-1.340 2.087 -1.724
-1.537 -2.171 -1.432
-6.572 0.714 5.973
Mo As Cl
1 1 2
Direct
0.000 0.000 0.506 Mo
0.500 0.500 0.688 As
0.000 0.000 0.975 Cl
0.500 0.500 0.331 Cl
```

Results
**Uncorrected energy**: -4.761 eV per atom
**SG**: P4mm (99)


[3]
First-principles (GGA-PBE) data for an optimized crystal structure of MoAsCl2, as listed in Alexandria via LeMat-Bulk.

Cell and atoms, written as POSCAR:
```
MoAsCl2
1.0
-0.615 -3.419 3.160
2.261 -3.005 -2.812
2.796 0.792 1.401
Mo As Cl
1 1 2
Direct
0.500 0.000 0.500 Mo
0.000 0.500 0.500 As
0.000 0.000 0.000 Cl
0.500 0.500 0.000 Cl
```

Results
**Uncorrected energy**: -3.979 eV per atom
**SG**: P4/mmm (123)


[4]
First-principles (GGA-PBE) data for an optimized crystal structure of MoAsCl3, as listed in Alexandria via LeMat-Bulk.

Cell and atoms, written as POSCAR:
```
MoAsCl3
1.0
-3.706 2.422 -2.460
-4.984 -4.743 2.838
1.944 2.768 8.041
Mo As Cl
2 2 6
Direct
0.026 0.448 0.791 Mo
0.008 0.948 0.769 Mo
0.463 0.948 0.712 As
0.571 0.448 0.849 As
0.796 0.448 0.133 Cl
0.238 0.948 0.427 Cl
0.852 0.219 0.571 Cl
0.852 0.676 0.571 Cl
0.183 0.719 0.990 Cl
0.183 0.176 0.990 Cl
```

Results
**Uncorrected energy**: -4.603 eV per atom
**SG**: P2_1/m (11)


Number 1: size of the total moment 0.0 μB per formula unit, uncorrected formation energy 0.5567 eV/atom. Number 2: size of the total moment 0.4 μB per formula unit, uncorrected formation energy 0.0321 eV/atom. Number 3: size of the total moment 1.7 μB per formula unit, uncorrected formation energy 0.8145 eV/atom. Number 4: size of the total moment 1.9 μB per formula unit, uncorrected formation energy -0.3994 eV/atom.